(1)
DFT (PBE-GGA) results for a geometry-optimized Ce2HfSc structure.

Cell and atoms, written as CIF:
```
data_Ce2HfSc
_chemical_formula_sum 'Ce6 Hf3 Sc3'
_cell_length_a 3.1291
_cell_length_b 3.1291
_cell_length_c 35.3183
_cell_angle_alpha 90.00
_cell_angle_beta 90.00
_cell_angle_gamma 120.00
_symmetry_space_group_name_H-M 'R -3 m'
_symmetry_Int_Tables_number 166
_symmetry_space_group_name_Hall '-R 3 2"'
loop_
_atom_site_label
_atom_site_type_symbol
_atom_site_fract_x
_atom_site_fract_y
_atom_site_fract_z
Ce1 Ce 0.0000 0.0000 0.0836
Hf1 Hf 0.0000 0.0000 0.0000
Sc1 Sc 0.0000 0.0000 0.5000
```

## Properties
ΔE to the lowest computed polymorph (eV per atom): 0.139
V (Å³/atom): 24.96
Fermi-level density of states (states/eV/cell): 31.777
Calculated formation energy (eV/atom): 0.259
Final energy (eV/atom): -6.779

***

(2)
DFT (PBE-GGA) results for a geometry-optimized In2AsSe structure.

Cell and atoms, written as CIF:
```
data_In2AsSe
_chemical_formula_sum 'In6 As3 Se3'
_cell_length_a 4.1078
_cell_length_b 4.1078
_cell_length_c 20.0890
_cell_angle_alpha 90.00
_cell_angle_beta 90.00
_cell_angle_gamma 120.00
_symmetry_space_group_name_H-M 'R -3 m'
_symmetry_Int_Tables_number 166
_symmetry_space_group_name_Hall '-R 3 2"'
loop_
_atom_site_label
_atom_site_type_symbol
_atom_site_fract_x
_atom_site_fract_y
_atom_site_fract_z
In1 In 0.0000 0.0000 0.2444
As1 As 0.0000 0.0000 0.5000
Se1 Se 0.0000 0.0000 0.0000
```

## Properties
E_form (uncorrected) (eV per atom): -0.289
ΔE to the lowest computed polymorph (eV per atom): 0.000
V (Å³/atom): 24.46
Fermi-level density of states (states/eV/cell): 2.676
Final energy (eV/atom): -3.692

***

(3)
DFT (PBE-GGA) results for a geometry-optimized YHgIrO6 structure.

Cell and atoms, written as CIF:
```
data_YHgIrO6
_chemical_formula_sum 'Y2 Hg2 Ir2 O12'
_cell_length_a 5.6270
_cell_length_b 5.6270
_cell_length_c 9.1449
_cell_angle_alpha 90.00
_cell_angle_beta 90.00
_cell_angle_gamma 120.00
_symmetry_space_group_name_H-M 'P -3 1 c'
_symmetry_Int_Tables_number 163
_symmetry_space_group_name_Hall '-P 3 2c'
loop_
_atom_site_label
_atom_site_type_symbol
_atom_site_fract_x
_atom_site_fract_y
_atom_site_fract_z
Y1 Y 0.3333 0.6667 0.2500
Hg1 Hg 0.0000 0.0000 0.0000
Ir1 Ir 0.3333 0.6667 0.7500
O1 O 0.0433 0.3911 0.6312
```

## Properties
E_form (uncorrected) (eV per atom): -1.201
V (Å³/atom): 13.93
Fermi-level density of states (states/eV/cell): 11.215
Final energy (eV/atom): -6.243

***

(4)
DFT (PBE-GGA) results for a geometry-optimized LaTa2Pb structure.

Cell and atoms, written as CIF:
```
data_LaTa2Pb
_chemical_formula_sum 'La2 Ta4 Pb2'
_cell_length_a 10.3150
_cell_length_b 3.4124
_cell_length_c 5.6443
_cell_angle_alpha 90.00
_cell_angle_beta 103.81
_cell_angle_gamma 90.00
_symmetry_space_group_name_H-M 'C 1 2/m 1'
_symmetry_Int_Tables_number 12
_symmetry_space_group_name_Hall '-C 2y'
loop_
_atom_site_label
_atom_site_type_symbol
_atom_site_fract_x
_atom_site_fract_y
_atom_site_fract_z
La1 La 0.0000 0.0000 0.0000
Ta1 Ta 0.2435 0.0000 0.6934
Pb1 Pb 0.0000 0.5000 0.5000
```

## Properties
V (Å³/atom): 24.12
Fermi-level density of states (states/eV/cell): 7.516
Calculated formation energy (eV/atom): 0.483
Final energy (eV/atom): -7.602

***

(5)
DFT (PBE-GGA) results for a geometry-optimized Tm5GeS5 structure.

Cell and atoms, written as CIF:
```
data_Tm5GeS5
_chemical_formula_sum 'Tm10 Ge2 S10'
_cell_length_a 12.3618
_cell_length_b 5.5013
_cell_length_c 7.8095
_cell_angle_alpha 90.00
_cell_angle_beta 108.35
_cell_angle_gamma 90.00
_symmetry_space_group_name_H-M 'C 1 2/m 1'
_symmetry_Int_Tables_number 12
_symmetry_space_group_name_Hall '-C 2y'
loop_
_atom_site_label
_atom_site_type_symbol
_atom_site_fract_x
_atom_site_fract_y
_atom_site_fract_z
Tm1 Tm 0.0000 0.0000 0.0000
Tm2 Tm 0.1612 0.5000 0.8241
Tm3 Tm 0.1652 0.5000 0.3369
Ge1 Ge 0.0000 0.5000 0.0000
S1 S 0.0000 0.5000 0.5000
S2 S 0.1707 0.0000 0.3337
S3 S 0.1722 0.0000 0.8407
```

## Properties
E_form (uncorrected) (eV per atom): -1.853
V (Å³/atom): 22.91
Fermi-level density of states (states/eV/cell): 4.428
Final energy (eV/atom): -6.181

***

(6)
DFT (PBE-GGA) results for a geometry-optimized NdTmIn structure.

Cell and atoms, written as CIF:
```
data_NdTmIn
_chemical_formula_sum 'Nd4 Tm4 In4'
_cell_length_a 3.4937
_cell_length_b 3.4937
_cell_length_c 29.6260
_cell_angle_alpha 90.00
_cell_angle_beta 90.00
_cell_angle_gamma 90.00
_symmetry_space_group_name_H-M 'I 4/m m m'
_symmetry_Int_Tables_number 139
_symmetry_space_group_name_Hall '-I 4 2'
loop_
_atom_site_label
_atom_site_type_symbol
_atom_site_fract_x
_atom_site_fract_y
_atom_site_fract_z
Nd1 Nd 0.0000 0.0000 0.0616
Tm1 Tm 0.0000 0.0000 0.2078
In1 In 0.0000 0.0000 0.3647
```

## Properties
ΔE to the lowest computed polymorph (eV per atom): 0.109
V (Å³/atom): 30.13
Fermi-level density of states (states/eV/cell): 11.710
Calculated formation energy (eV/atom): -0.228
Final energy (eV/atom): -4.220

***

(7)
DFT (PBE-GGA) results for a geometry-optimized WBr structure.

Cell and atoms, written as CIF:
```
data_WBr
_chemical_formula_sum 'W2 Br2'
_cell_length_a 3.6457
_cell_length_b 3.6457
_cell_length_c 7.4964
_cell_angle_alpha 90.00
_cell_angle_beta 90.00
_cell_angle_gamma 90.00
_symmetry_space_group_name_H-M 'P 4/n m m'
_symmetry_Int_Tables_number 129
loop_
_symmetry_equiv_pos_as_xyz
'x,y,z'
'-x,-y,-z'
'-y+1/2,x,z'
'y+1/2,-x,-z'
'-x+1/2,-y+1/2,z'
'x+1/2,y+1/2,-z'
'y,-x+1/2,z'
'-y,x+1/2,-z'
'x+1/2,-y,-z'
'-x+1/2,y,z'
'-y,-x,-z'
'y,x,z'
'-x,y+1/2,-z'
'x,-y+1/2,z'
'y+1/2,x+1/2,-z'
'-y+1/2,-x+1/2,z'
loop_
_atom_site_label
_atom_site_type_symbol
_atom_site_fract_x
_atom_site_fract_y
_atom_site_fract_z
W1 W 0.2500 0.7500 0.0000
Br1 Br 0.2500 0.2500 0.3044
```

## Properties
E_form (uncorrected) (eV per atom): 0.931
ΔE to the lowest computed polymorph (eV per atom): 0.849
V (Å³/atom): 24.91
Fermi-level density of states (states/eV/cell): 4.712
Final energy (eV/atom): -6.382

***

(8)
DFT (PBE-GGA) results for a geometry-optimized Nd3Dy4Pd4 structure.

Cell and atoms, written as CIF:
```
data_Nd3Dy4Pd4
_chemical_formula_sum 'Nd6 Dy8 Pd8'
_cell_length_a 4.7980
_cell_length_b 7.6103
_cell_length_c 15.5940
_cell_angle_alpha 90.00
_cell_angle_beta 90.00
_cell_angle_gamma 90.00
_symmetry_space_group_name_H-M 'I m m m'
_symmetry_Int_Tables_number 71
_symmetry_space_group_name_Hall '-I 2 2'
loop_
_atom_site_label
_atom_site_type_symbol
_atom_site_fract_x
_atom_site_fract_y
_atom_site_fract_z
Nd1 Nd 0.0000 0.0000 0.0000
Nd2 Nd 0.0000 0.5000 0.1024
Dy1 Dy 0.0000 0.2827 0.3277
Pd1 Pd 0.0000 0.0000 0.2041
Pd2 Pd 0.0000 0.1861 0.5000
```

## Properties
V (Å³/atom): 25.88
Fermi-level density of states (states/eV/cell): 22.782
Calculated formation energy (eV/atom): -0.568
Final energy (eV/atom): -5.430

***

(9)
DFT (PBE-GGA) results for a geometry-optimized Ca2AcSc structure.

Cell and atoms, written as CIF:
```
data_Ca2AcSc
_chemical_formula_sum 'Ca2 Ac1 Sc1'
_cell_length_a 4.1520
_cell_length_b 4.1520
_cell_length_c 8.5806
_cell_angle_alpha 90.00
_cell_angle_beta 90.00
_cell_angle_gamma 90.00
_symmetry_space_group_name_H-M 'P 4/m m m'
_symmetry_Int_Tables_number 123
_symmetry_space_group_name_Hall '-P 4 2'
loop_
_atom_site_label
_atom_site_type_symbol
_atom_site_fract_x
_atom_site_fract_y
_atom_site_fract_z
Ca1 Ca 0.0000 0.0000 0.2175
Ac1 Ac 0.5000 0.5000 0.5000
Sc1 Sc 0.5000 0.5000 0.0000
```

## Properties
ΔE to the lowest computed polymorph (eV per atom): 0.000
V (Å³/atom): 36.98
Fermi-level density of states (states/eV/cell): 5.753
Calculated formation energy (eV/atom): 0.184
Final energy (eV/atom): -3.427

***

(10)
DFT (PBE-GGA) results for a geometry-optimized TaNb4In structure.

Cell and atoms, written as CIF:
```
data_TaNb4In
_chemical_formula_sum 'Ta2 Nb8 In2'
_cell_length_a 10.2783
_cell_length_b 3.4726
_cell_length_c 6.6272
_cell_angle_alpha 90.00
_cell_angle_beta 106.61
_cell_angle_gamma 90.00
_symmetry_space_group_name_H-M 'C 1 2/m 1'
_symmetry_Int_Tables_number 12
_symmetry_space_group_name_Hall '-C 2y'
loop_
_atom_site_label
_atom_site_type_symbol
_atom_site_fract_x
_atom_site_fract_y
_atom_site_fract_z
Ta1 Ta 0.0000 0.0000 0.0000
Nb1 Nb 0.1660 0.5000 0.8376
Nb2 Nb 0.1745 0.5000 0.3190
In1 In 0.0000 0.0000 0.5000
```

## Properties
ΔE to the lowest computed polymorph (eV per atom): 0.000
V (Å³/atom): 18.89
Fermi-level density of states (states/eV/cell): 12.832
Calculated formation energy (eV/atom): 0.031
Final energy (eV/atom): -9.114

***

Please write out number 7 again, unchanged.
DFT (PBE-GGA) results for a geometry-optimized WBr structure.

Cell and atoms, written as CIF:
```
data_WBr
_chemical_formula_sum 'W2 Br2'
_cell_length_a 3.6457
_cell_length_b 3.6457
_cell_length_c 7.4964
_cell_angle_alpha 90.00
_cell_angle_beta 90.00
_cell_angle_gamma 90.00
_symmetry_space_group_name_H-M 'P 4/n m m'
_symmetry_Int_Tables_number 129
loop_
_symmetry_equiv_pos_as_xyz
'x,y,z'
'-x,-y,-z'
'-y+1/2,x,z'
'y+1/2,-x,-z'
'-x+1/2,-y+1/2,z'
'x+1/2,y+1/2,-z'
'y,-x+1/2,z'
'-y,x+1/2,-z'
'x+1/2,-y,-z'
'-x+1/2,y,z'
'-y,-x,-z'
'y,x,z'
'-x,y+1/2,-z'
'x,-y+1/2,z'
'y+1/2,x+1/2,-z'
'-y+1/2,-x+1/2,z'
loop_
_atom_site_label
_atom_site_type_symbol
_atom_site_fract_x
_atom_site_fract_y
_atom_site_fract_z
W1 W 0.2500 0.7500 0.0000
Br1 Br 0.2500 0.2500 0.3044
```

## Properties
E_form (uncorrected) (eV per atom): 0.931
ΔE to the lowest computed polymorph (eV per atom): 0.849
V (Å³/atom): 24.91
Fermi-level density of states (states/eV/cell): 4.712
Final energy (eV/atom): -6.382

***

Repeat the fifth record exactly.
DFT (PBE-GGA) results for a geometry-optimized Tm5GeS5 structure.

Cell and atoms, written as CIF:
```
data_Tm5GeS5
_chemical_formula_sum 'Tm10 Ge2 S10'
_cell_length_a 12.3618
_cell_length_b 5.5013
_cell_length_c 7.8095
_cell_angle_alpha 90.00
_cell_angle_beta 108.35
_cell_angle_gamma 90.00
_symmetry_space_group_name_H-M 'C 1 2/m 1'
_symmetry_Int_Tables_number 12
_symmetry_space_group_name_Hall '-C 2y'
loop_
_atom_site_label
_atom_site_type_symbol
_atom_site_fract_x
_atom_site_fract_y
_atom_site_fract_z
Tm1 Tm 0.0000 0.0000 0.0000
Tm2 Tm 0.1612 0.5000 0.8241
Tm3 Tm 0.1652 0.5000 0.3369
Ge1 Ge 0.0000 0.5000 0.0000
S1 S 0.0000 0.5000 0.5000
S2 S 0.1707 0.0000 0.3337
S3 S 0.1722 0.0000 0.8407
```

## Properties
E_form (uncorrected) (eV per atom): -1.853
V (Å³/atom): 22.91
Fermi-level density of states (states/eV/cell): 4.428
Final energy (eV/atom): -6.181

***

- What is the formula in the fifth record?
  Tm5GeS5

***

- Which value of final energy does entry 5 give?
  -6.181 eV/atom